PBE Si2PbSe, optimized geometry; SG = R-3m; energy = -4.107 eV/atom; total magnetic moment = 0.00 μB/atom; formation energy (no corrections) = 402.5 meV/atom
1.0
1.802 1.040 7.960
-1.802 1.040 7.960
0.000 -2.080 7.960
Si Pb Se
2 1 1
Cartesian
0.000 0.000 5.667 Si
0.000 0.000 18.212 Si
0.000 0.000 0.000 Pb
0.000 0.000 11.940 Se

PBE SiPb2Se4, optimized geometry; SG = P2_1/c; energy = -4.354 eV/atom; total magnetic moment = 0.00 μB/atom; formation energy (no corrections) = -529.1 meV/atom
1.0
8.748 0.000 0.000
0.000 7.369 0.000
-4.247 0.000 13.237
Si Pb Se
4 8 16
Cartesian
1.161 1.834 1.914 Si
-0.963 1.850 8.533 Si
5.464 5.519 4.704 Si
3.341 5.535 11.323 Si
-1.097 1.056 4.944 Pb
-3.220 2.629 11.562 Pb
3.298 4.715 1.843 Pb
1.174 6.338 8.462 Pb
3.327 1.031 4.776 Pb
1.203 2.654 11.394 Pb
7.721 4.741 1.675 Pb
5.598 6.313 8.294 Pb
-3.440 5.416 12.501 Se
-1.316 5.638 5.883 Se
-0.899 3.822 9.708 Se
1.224 7.232 3.089 Se
-0.901 0.174 10.110 Se
1.222 3.510 3.491 Se
0.897 1.627 7.182 Se
3.020 2.057 0.563 Se
1.481 5.312 12.674 Se
3.604 5.742 6.055 Se
3.279 3.859 9.747 Se
5.403 7.195 3.128 Se
3.277 0.137 10.148 Se
5.400 3.547 3.529 Se
5.817 1.732 7.355 Se
7.941 1.953 0.736 Se

PBE SiPbSe2, optimized geometry; SG = Imm2; energy = -3.953 eV/atom; total magnetic moment = 0.00 μB/atom; formation energy (no corrections) = 71.9 meV/atom
1.0
-1.743 2.814 5.392
1.743 -2.814 5.392
1.743 2.814 -5.392
Si Pb Se
1 1 2
Cartesian
0.000 0.000 0.000 Si
1.743 0.000 3.470 Pb
0.000 0.000 5.776 Se
0.000 2.814 3.608 Se

PBE Si2PbSe, optimized geometry; SG = C2/m; energy = -4.169 eV/atom; total magnetic moment = 0.00 μB/atom; formation energy (no corrections) = 340.9 meV/atom
1.0
2.872 -3.956 0.000
2.872 3.956 0.000
-2.810 0.000 3.970
Si Pb Se
2 1 1
Cartesian
1.436 1.978 0.000 Si
1.436 -1.978 0.000 Si
-1.405 0.000 1.985 Pb
1.467 0.000 1.985 Se

PBE SiPbSe2, optimized geometry; SG = P4mm; energy = -4.202 eV/atom; total magnetic moment = 0.00 μB/atom; formation energy (no corrections) = -177.1 meV/atom
1.0
4.157 0.000 0.000
0.000 4.157 0.000
0.000 0.000 6.174
Si Pb Se
1 1 2
Cartesian
0.000 0.000 0.000 Si
2.079 2.079 3.131 Pb
0.000 0.000 3.758 Se
2.079 2.079 0.186 Se

PBE Si3PbSe, optimized geometry; SG = Pm-3m; energy = -3.814 eV/atom; total magnetic moment = 0.00 μB/atom; formation energy (no corrections) = 878.9 meV/atom
1.0
4.976 0.000 0.000
0.000 4.976 0.000
0.000 0.000 4.976
Si Pb Se
3 1 1
Cartesian
0.000 0.000 2.488 Si
0.000 2.488 0.000 Si
2.488 0.000 0.000 Si
2.488 2.488 2.488 Pb
0.000 0.000 0.000 Se

PBE SiPbSe2, optimized geometry; SG = Cm; energy = -4.073 eV/atom; total magnetic moment = 0.00 μB/atom; formation energy (no corrections) = -48.0 meV/atom
1.0
5.984 -1.821 0.000
5.984 1.821 0.000
-0.501 0.000 5.001
Si Pb Se
1 1 2
Cartesian
0.000 0.000 0.000 Si
9.222 0.000 2.238 Pb
3.369 0.000 4.659 Se
6.389 0.000 1.734 Se

PBE SiPbSe2, optimized geometry; SG = I-4m2; energy = -3.809 eV/atom; total magnetic moment = 0.00 μB/atom; formation energy (no corrections) = 216.2 meV/atom
1.0
-2.068 2.068 5.729
2.068 -2.068 5.729
2.068 2.068 -5.729
Si Pb Se
1 1 2
Cartesian
0.000 0.000 0.000 Si
2.068 0.000 2.865 Pb
0.000 0.000 5.729 Se
0.000 2.068 2.865 Se

PBE SiPbSe2, optimized geometry; SG = Immm; energy = -4.062 eV/atom; total magnetic moment = 0.00 μB/atom; formation energy (no corrections) = -37.2 meV/atom
1.0
-1.762 2.794 4.921
1.762 -2.794 4.921
1.762 2.794 -4.921
Si Pb Se
1 1 2
Cartesian
0.000 0.000 0.000 Si
0.000 0.000 4.921 Pb
1.762 0.000 1.730 Se
0.000 2.794 3.191 Se

PBE SiPbSe2, optimized geometry; SG = P4/mmm; energy = -3.887 eV/atom; total magnetic moment = 0.00 μB/atom; formation energy (no corrections) = 137.6 meV/atom
1.0
3.547 0.000 0.000
0.000 3.547 0.000
0.000 0.000 7.303
Si Pb Se
1 1 2
Cartesian
0.000 0.000 0.000 Si
0.000 0.000 3.651 Pb
1.774 1.774 1.606 Se
1.774 1.774 5.697 Se

PBE SiPbSe2, optimized geometry; SG = I-42d; energy = -4.045 eV/atom; total magnetic moment = 0.00 μB/atom; formation energy (no corrections) = -20.2 meV/atom
1.0
-3.254 3.254 6.279
3.254 -3.254 6.279
3.254 3.254 -6.279
Si Pb Se
2 2 4
Cartesian
0.000 0.000 0.000 Si
0.000 3.254 3.139 Si
3.254 0.000 3.139 Pb
0.000 0.000 6.279 Pb
4.880 1.203 -1.570 Se
1.203 1.627 1.570 Se
-1.627 2.050 4.709 Se
2.050 1.627 7.848 Se

PBE SiPbSe2, optimized geometry; SG = C2/m; energy = -3.846 eV/atom; total magnetic moment = 0.00 μB/atom; formation energy (no corrections) = 178.9 meV/atom
1.0
3.611 -3.632 0.000
3.611 3.632 0.000
-0.457 0.000 3.600
Si Pb Se
1 1 2
Cartesian
0.000 0.000 0.000 Si
3.611 0.000 0.000 Pb
1.577 1.816 1.800 Se
1.577 -1.816 1.800 Se

Number 1: density 6.4 g cm⁻³. Number 2: density 5.9 g cm⁻³. Number 3: density 6.2 g cm⁻³. Number 4: density 6.3 g cm⁻³. Number 5: density 6.1 g cm⁻³. Number 6: density 5.0 g cm⁻³. Number 7: density 6.0 g cm⁻³. Number 8: density 6.7 g cm⁻³. Number 9: density 6.7 g cm⁻³. Number 10: density 7.1 g cm⁻³. Number 11: density 4.9 g cm⁻³. Number 12: density 6.9 g cm⁻³.